# Ta2MoW

A relaxed structure of Ta2MoW (GGA-PBEsol, Alexandria).

a = 3.1972 Å, b = 4.5862 Å, c = 8.9755 Å
α = 90.00°, β = 90.00°, γ = 90.00°
Last column: nearest neighbours and their distance in Å.
Fractional positions:
Ta 0.0000 0.0000 0.0000  2 Mo 2.74, 6 Ta 2.80-2.85
Ta 0.0000 0.5000 0.2628  2 W 2.76, 6 Ta 2.80-2.85
Ta 0.5000 0.0000 0.2628  2 W 2.76, 6 Ta 2.80-2.85
Ta 0.5000 0.5000 0.0000  2 Mo 2.74, 6 Ta 2.80-2.85
Mo 0.0000 0.5000 0.7520  2 W 2.67, 2 Ta 2.74, 4 Mo 2.80
Mo 0.5000 0.0000 0.7520  2 W 2.67, 2 Ta 2.74, 4 Mo 2.80
W 0.0000 0.0000 0.5139  2 Mo 2.67, 2 Ta 2.76, 4 W 2.80
W 0.5000 0.5000 0.5139  2 Mo 2.67, 2 Ta 2.76, 4 W 2.80

crystal system: orthorhombic
formation enthalpy at 0 K: -0.06 eV/atom
volume: 16.5 Å³ per atom